VASP calculation (GGA-PBE) on a relaxed structure of TlCr2Ni.

Calculated values
* energy above the most stable polymorph in this dataset: 204.3 meV per atom
* energy of formation: 574 meV per atom
* total DFT energy (no corrections): -6.2750 eV per atom
* D(E_F): 3.469 states/eV/cell

a b c (Å): 8.1515 8.1515 8.1515
angles (deg): 21.17 21.17 21.17
Closest atoms and distances in Å follow each position.
Positions (direct):
Tl: 0.0000 0.0000 0.0000  3 Ni 2.77, 3 Cr 2.97, 6 Tl 2.99
Cr: 0.5001 0.5001 0.5001  3 Cr 2.33, 3 Ni 2.50
Cr: 0.7679 0.7679 0.7679  3 Cr 2.33
Ni: 0.2426 0.2426 0.2426  3 Cr 2.50, 3 Tl 2.77